# Sm4Pt2Au5 GGA-PBE optimized geometry
data_Sm4Pt2Au5
_chemical_formula_sum 'Sm4 Pt2 Au5'
_symmetry_space_group_name_H-M 'P 1'
_symmetry_Int_Tables_number 1
_symmetry_space_group_name_Hall 'P 1'
_cell_length_a 3.776
_cell_length_b 7.419
_cell_length_c 9.150
_cell_angle_alpha 95.31
_cell_angle_beta 90.00
_cell_angle_gamma 90.00
loop_
_atom_site_label
_atom_site_fract_x
_atom_site_fract_y
_atom_site_fract_z
_atom_site_occupancy
Pt1 0.000 0.073 0.643 1
Sm1 0.500 0.197 0.868 1
Sm2 0.500 0.803 0.132 1
Au1 0.000 0.458 0.675 1
Au2 0.000 0.542 0.325 1
Pt2 0.000 0.927 0.357 1
Sm3 0.500 0.758 0.572 1
Au3 0.000 0.168 0.138 1
Au4 0.000 0.500 0.000 1
Au5 0.000 0.832 0.862 1
Sm4 0.500 0.242 0.428 1
# Space group: No. 10
# E_tot (eV for the cell shown): -57.00